CaNbZn after structural relaxation, computed with PBE.

Structure (POSCAR):
```
CaNbZn
1.0
6.1222 0.0000 0.0000
0.0000 8.4091 0.0000
0.0000 0.0000 5.1339
Nb Ca Zn
4 4 4
direct
0.2500 0.2684 0.1015
0.7500 0.7316 0.1015
0.7500 0.7684 0.6015
0.2500 0.2316 0.6015
0.2500 0.8808 0.3412
0.7500 0.1192 0.3412
0.7500 0.3808 0.8412
0.2500 0.6192 0.8412
0.0000 0.0000 0.8558
0.5000 0.0000 0.8558
0.5000 0.5000 0.3558
0.0000 0.5000 0.3558
```

Energy: -4.353 eV per atom
Crystal system: orthorhombic
Calculated density: 4.99 g/cm³
Space-group type: Ima2, No. 46
D(E_F): 0.985 states/eV per atom

=====

Th2PaNbN6 after structural relaxation, computed with PBE.

Structure (POSCAR):
```
Th2PaNbN6
1.0
-1.4729 -4.0531 4.1185
-2.1467 -5.3060 -1.6725
3.2958 -4.8974 0.6761
Th Pa Nb N
2 1 1 6
direct
0.5368 0.5368 0.3895
0.0456 0.0455 0.8634
0.8095 0.8095 0.5714
0.3065 0.3065 0.0806
0.5804 0.1732 0.2683
0.1732 0.9782 0.2683
0.9782 0.5804 0.2683
0.4494 0.6703 0.7685
0.6703 0.1118 0.7685
0.1118 0.4494 0.7685
```

Crystal system: trigonal
Raw formation energy: -1.419 eV/atom
Calculated density: 9.71 g/cm³
Space-group type: R3, No. 146
D(E_F): 0.000 states/eV per atom